(1)
This record from the Alexandria database describes crystalline Tb2CeHfP4 at its relaxed geometry. The functional is PBE.

Lattice parameters (Å, degrees): 6.8380 3.9466 6.8389 90.00 109.27 90.00
Space group P2/m (No. 10)
Inequivalent atoms, fractional coordinates:
Tb1 0.0000 0.0000 0.0000 (multiplicity 1)
Tb2 0.0000 0.5000 0.5000 (multiplicity 1)
Ce1 0.5000 0.0000 0.5000 (multiplicity 1)
Hf1 0.5000 0.5000 0.0000 (multiplicity 1)
P1 0.2567 0.5000 0.2402 (multiplicity 2)
P2 0.2645 0.0000 0.7653 (multiplicity 2)

Fermi-level density of states, states/eV per cell: 5.53
Calculated formation energy, eV/atom: -1.49
Crystal system: monoclinic

***

(2)
This record from the Alexandria database describes crystalline TbCe2HfP4 at its relaxed geometry. The functional is PBE.

Lattice parameters (Å, degrees): 6.8645 3.9591 6.8681 90.00 109.35 90.00
Space group P2/m (No. 10)
Inequivalent atoms, fractional coordinates:
Tb1 0.0000 0.0000 0.0000 (multiplicity 1)
Ce1 0.5000 0.0000 0.5000 (multiplicity 1)
Ce2 0.5000 0.5000 0.0000 (multiplicity 1)
Hf1 0.0000 0.5000 0.5000 (multiplicity 1)
P1 0.2320 0.0000 0.7337 (multiplicity 2)
P2 0.2390 0.5000 0.2577 (multiplicity 2)

Fermi-level density of states, states/eV per cell: 8.87
Calculated formation energy, eV/atom: -1.48
Crystal system: monoclinic

***

(3)
This record from the Alexandria database describes crystalline CeHfTh2P4 at its relaxed geometry. The functional is PBE.

Lattice parameters (Å, degrees): 6.9464 4.0172 6.9513 90.00 109.39 90.00
Space group P2/m (No. 10)
Inequivalent atoms, fractional coordinates:
Ce1 0.0000 0.0000 0.0000 (multiplicity 1)
Hf1 0.5000 0.5000 0.0000 (multiplicity 1)
Th1 0.0000 0.5000 0.5000 (multiplicity 1)
Th2 0.5000 0.0000 0.5000 (multiplicity 1)
P1 0.2567 0.5000 0.2351 (multiplicity 2)
P2 0.2675 0.0000 0.7717 (multiplicity 2)

Fermi-level density of states, states/eV per cell: 6.14
Calculated formation energy, eV/atom: -1.44
Crystal system: monoclinic